1.
Here is a geometry-optimized UAgCl6 structure from OQMD. Energies are from PBE.

Cell lengths 6.933, 6.933, 6.590 Å; angles 100.02, 100.02, 122.73 degrees
Fractional coordinates of all 8 atoms:
Cl 0.585 0.888 0.741
Cl 0.267 0.267 0.728
Cl 0.415 0.112 0.259
Cl 0.888 0.585 0.741
Cl 0.733 0.733 0.272
Cl 0.112 0.415 0.259
U 0.500 0.500 0.500
Ag 0.000 0.000 0.000

## Properties
energy = -4.502 eV per atom
space-group type = C2/m, No. 12

---

2.
Here is a geometry-optimized YAg3Cl6 structure from OQMD. Energies are from PBE.

Cell lengths 6.925, 6.925, 7.336 Å; angles 118.16, 118.16, 60.00 degrees
Fractional coordinates of all 10 atoms:
Ag 0.702 0.702 0.106
Ag 0.500 0.500 0.500
Ag 0.298 0.298 0.894
Y 0.000 0.000 0.000
Cl 0.102 0.754 0.244
Cl 0.898 0.246 0.756
Cl 0.246 0.612 0.756
Cl 0.388 0.102 0.244
Cl 0.754 0.388 0.244
Cl 0.612 0.898 0.756

## Properties
energy = -3.765 eV per atom
space-group type = R-3, No. 148

---

3.
Here is a geometry-optimized CoAg structure from OQMD. Energies are from PBE.

Cell lengths 2.732, 2.732, 13.372 Å; angles 90.00, 90.00, 120.00 degrees
Fractional coordinates of all 6 atoms:
Ag 0.333 0.667 0.310
Ag 0.667 0.333 0.690
Ag 0.000 0.000 0.500
Co 0.000 0.000 0.000
Co 0.667 0.333 0.139
Co 0.333 0.667 0.861

## Properties
energy = -4.725 eV per atom
space-group type = P-3m1, No. 164
formation energy = 5.5 kcal/mol of atoms